## TbVO2 (PBE with a Hubbard U)

Data for crystalline TbVO2 at its relaxed geometry.

## Properties
Electronic total energy ... -7.48 eV per atom
E above lowest polymorph ... 173 meV per atom

a = 7.0045 Å, b = 7.0045 Å, c = 7.0045 Å
α = 107.64°, β = 107.64°, γ = 113.20°
Closest atoms and distances in Å follow each position.
Atoms (fractional coordinates):
Tb1 0.1250 0.3750 0.7500  6 O 2.26-2.46
Tb2 0.6250 0.8750 0.2500  6 O 2.26-2.46
Tb3 0.6250 0.3750 0.7500  6 O 2.26-2.46
Tb4 0.6250 0.3750 0.2500  6 O 2.26-2.46
V1 0.1250 0.3750 0.2500  2 O 1.88
V2 0.1250 0.8750 0.2500  2 O 1.88
V3 0.6250 0.8750 0.7500  2 O 1.88
V4 0.1250 0.8750 0.7500  2 O 1.88
O1 0.9015 0.5603 0.6588  1 V 1.88
O2 0.3485 0.5073 0.1588  1 V 1.88
O3 0.4397 0.0985 0.3412  1 V 1.88
O4 0.8103 0.6515 0.1588  1 V 1.88
O5 0.3485 0.1897 0.8412  1 V 1.88
O6 0.9015 0.2427 0.3412  1 V 1.88
O7 0.4927 0.6515 0.8412  1 V 1.88
O8 0.7573 0.0985 0.6588  1 V 1.88